Record 1
Material: KBePbCl5
Method: DFT, GGA-PBE
State: relaxed

The space group is C2/c (No. 15) and the conventional cell measures 8.995, 11.814 and 10.070 Å, with angles of 90.00, 114.08 and 90.00 degrees. Symmetry generates all atoms from K at (0.000, 0.141, 0.250), Be at (0.000, 0.188, 0.750), Pb at (0.000, 0.500, 0.000), Cl at (0.000, 0.396, 0.250), Cl at (0.122, 0.285, 0.659) and Cl at (0.157, 0.085, 0.912).

For the uncorrected formation energy, the calculation gives -1456 meV per atom.

***

Record 2
Material: AgPt2Br
Method: DFT, GGA-PBE
State: relaxed

The space group is I-42d (No. 122) and the conventional cell measures 3.908, 3.908 and 19.922 Å, with angles of 90.00, 90.00 and 90.00 degrees. Symmetry generates all atoms from Ag at (0.000, 0.000, 0.000), Pt at (0.247, 0.250, 0.125) and Br at (0.000, 0.000, 0.500).

As for the energy above the most stable polymorph in this dataset: 250 meV per atom. For the uncorrected formation energy, the calculation gives 451 meV per atom.

***

Record 3
Material: Tl2InBO4
Method: DFT, GGA-PBE
State: relaxed

The space group is Fddd (No. 70, origin choice 2) and the conventional cell measures 5.144, 10.880 and 21.852 Å, with angles of 90.00, 90.00 and 90.00 degrees. Symmetry generates all atoms from Tl at (0.125, 0.125, 0.308), In at (0.125, 0.125, 0.125), B at (0.125, 0.125, 0.625) and O at (0.049, 0.291, 0.838).

For the uncorrected formation energy, the calculation gives -1202 meV per atom.

***

Record 4
Material: SrZn3Rh
Method: DFT, GGA-PBE
State: relaxed

The space group is R-3m (No. 166, hexagonal axes) and the conventional cell measures 6.6978, 6.6978 and 16.4125 Å, with angles of 90.00, 90.00 and 120.00 degrees. Symmetry generates all atoms from Sr at (0.0000, 0.0000, 0.1076), Zn at (0.0676, 0.5338, 0.0901) and Rh at (0.0000, 0.0000, 0.2970).

The calculation puts the energy of formation at -107 kJ/mol of formula units. As for the energy above the most stable polymorph in this dataset: 125 meV per atom.